This record from the Alexandria database describes crystalline Ti3SnBi at its relaxed geometry. The functional is PBE.

Lattice parameters (Å, degrees): 5.110 5.110 5.110 90.00 90.00 90.00
Atoms (fractional coordinates):
Ti 0.000 0.000 0.500
Ti 0.000 0.500 0.000
Ti 0.500 0.000 0.000
Sn 0.000 0.000 0.000
Bi 0.500 0.500 0.500

**VASP energy**: -0.20541 Ha/atom
**Mass density**: 5.9 g cm⁻³
**Space-group type**: Pm-3m (221)
**Total magnetization**: 0.9547 μB/atom
**E above lowest polymorph**: 349.3 kJ/mol of formula units
**Formation energy from the elements**: 69.9 kJ/mol of atoms